Here is CsGaCuS2 after structural relaxation from the Alexandria database. Energies are from PBE.

CIF file:
```
data_CsGaCuS2
_chemical_formula_sum 'Cs2 Ga2 Cu2 S4'
_space_group_name_H-M_alt 'P 1'
_space_group_IT_number 1
_cell_length_a 7.643
_cell_length_b 7.643
_cell_length_c 6.202
_cell_angle_alpha 90.00
_cell_angle_beta 90.00
_cell_angle_gamma 130.23
loop_
_space_group_symop_operation_xyz
'x,y,z'
loop_
_atom_site_label
_atom_site_type_symbol
_atom_site_fract_x
_atom_site_fract_y
_atom_site_fract_z
Cs1 Cs 0.250 0.750 0.762
Cs2 Cs 0.750 0.250 0.238
Ga1 Ga 0.250 0.250 0.500
Ga2 Ga 0.750 0.750 0.500
Cu1 Cu 0.000 0.000 0.000
Cu2 Cu 0.500 0.500 0.000
S1 S 0.098 0.902 0.268
S2 S 0.402 0.598 0.268
S3 S 0.598 0.402 0.732
S4 S 0.902 0.098 0.732
```

Computed properties:
Theoretical density: 3.97 Mg/m³
E_form (uncorrected): -546 meV per atom
Space-group type: Cmme (67)
V: 27.661 Å³/atom